Below is crystalline Na3Er2MnSe6 at its relaxed geometry, with properties calculated at the PBE level.

For the uncorrected formation energy, the calculation gives -1336 meV/atom. The space group is C2/m, No. 12. For the energy, the calculation gives -4.933 eV per atom.

Cell: 6.973 6.973 7.357 Å, 98.91 98.91 120.42°
Each line ends with the local moment (μB).
Positions (direct):
Se 0.764 0.764 0.214  -0.04
Se 0.924 0.607 0.776  -0.01
Se 0.076 0.393 0.224  -0.01
Se 0.607 0.924 0.776  -0.01
Se 0.393 0.076 0.224  -0.01
Se 0.236 0.236 0.786  -0.04
Er 0.332 0.668 0.000  0.02
Er 0.668 0.332 0.000  0.02
Na 0.169 0.831 0.500  0.00
Na 0.500 0.500 0.500  0.00
Na 0.831 0.169 0.500  0.00
Mn 0.000 0.000 0.000  3.81


Below is crystalline Na3Er2MnTe6 at its relaxed geometry, with properties calculated at the PBE level.

For the uncorrected formation energy, the calculation gives -982 meV/atom. The space group is C2/m, No. 12. For the energy, the calculation gives -4.407 eV per atom.

Cell: 7.475 7.475 7.944 Å, 98.96 98.96 120.29°
Each line ends with the local moment (μB).
Positions (direct):
Te 0.925 0.609 0.776  -0.02
Te 0.391 0.075 0.224  -0.02
Te 0.237 0.237 0.781  -0.04
Te 0.763 0.763 0.219  -0.04
Te 0.609 0.925 0.776  -0.02
Te 0.075 0.391 0.224  -0.02
Na 0.500 0.500 0.500  0.00
Na 0.829 0.171 0.500  0.00
Na 0.171 0.829 0.500  0.00
Er 0.667 0.333 0.000  0.03
Er 0.333 0.667 0.000  0.03
Mn 0.000 0.000 0.000  3.88


Below is crystalline ErMn4Nb at its relaxed geometry, with properties calculated at the PBE level.

As for the energy relative to the elements: 0.001 eV/atom. The space group is F-43m, No. 216. For the energy, the calculation gives -8.551 eV per atom.

Cell: 4.959 4.959 4.959 Å, 60.00 60.00 60.00°
Each line ends with the local moment (μB).
Positions (direct):
Mn 0.624 0.624 0.127  0.93
Mn 0.127 0.624 0.624  0.93
Mn 0.624 0.624 0.624  0.93
Mn 0.624 0.127 0.624  0.93
Nb 0.250 0.250 0.250  -0.43
Er 0.000 0.000 0.000  -0.20


Below is crystalline ErMnNbSi2 at its relaxed geometry, with properties calculated at the PBE level.

For the uncorrected formation energy, the calculation gives -566 meV/atom. The space group is I-4m2, No. 119. For the energy, the calculation gives -7.495 eV per atom.

Cell: 3.924 3.924 6.251 Å, 108.29 108.29 90.00°
Each line ends with the local moment (μB).
Positions (direct):
Er 0.000 0.000 0.000  -0.13
Si 0.394 0.394 0.787  -0.02
Si 0.606 0.606 0.213  -0.02
Mn 0.750 0.250 0.500  2.05
Nb 0.250 0.750 0.500  -0.31


Below is crystalline NdEr2Mn at its relaxed geometry, with properties calculated at the PBE level.

As for the polymorph energy (0 for the lowest one): 0 meV per atom. As for the energy relative to the elements: 0.107 eV/atom. The space group is P4/mmm, No. 123. For the energy, the calculation gives -5.659 eV per atom.

Cell: 3.464 3.464 9.036 Å, 90.00 90.00 90.00°
Each line ends with the local moment (μB).
Positions (direct):
Er 0.000 0.000 0.809  -0.22
Er 0.000 0.000 0.191  -0.22
Mn 0.500 0.500 0.000  3.17
Nd 0.500 0.500 0.500  0.05


Below is crystalline NdEr2Mn at its relaxed geometry, with properties calculated at the PBE level.

As for the polymorph energy (0 for the lowest one): 222 meV per atom. As for the energy relative to the elements: 0.328 eV/atom. The space group is R-3m, No. 166. For the energy, the calculation gives -5.437 eV per atom.

Cell: 4.944 4.944 5.905 Å, 65.25 65.25 60.00°
Each line ends with the local moment (μB).
Positions (direct):
Er 0.224 0.224 0.328  0.39
Er 0.776 0.776 0.672  0.39
Nd 0.000 0.000 0.000  0.32
Mn 0.500 0.500 0.500  -3.15


Below is crystalline NdEr3Mn at its relaxed geometry, with properties calculated at the PBE level.

As for the energy relative to the elements: 0.206 eV/atom. The space group is Pm-3m, No. 221. For the energy, the calculation gives -5.319 eV per atom.

Cell: 5.291 5.291 5.291 Å, 90.00 90.00 90.00°
Each line ends with the local moment (μB).
Positions (direct):
Er 0.500 0.000 0.000  -0.13
Er 0.000 0.500 0.000  -0.13
Er 0.000 0.000 0.500  -0.13
Nd 0.500 0.500 0.500  -0.11
Mn 0.000 0.000 0.000  1.52


Below is crystalline Nd2ErMnS5 at its relaxed geometry, with properties calculated at the PBE level.

For the uncorrected formation energy, the calculation gives -1723 meV/atom. The space group is Cmc2_1, No. 36. For the energy, the calculation gives -6.601 eV per atom.

Cell: 3.919 8.499 11.972 Å, 90.00 90.00 103.33°
Each line ends with the local moment (μB).
Positions (direct):
Mn 0.449 0.898 0.428  3.72
Mn 0.551 0.102 0.928  3.72
S 0.300 0.601 0.682  0.02
S 0.980 0.961 0.524  0.06
S 0.700 0.399 0.182  0.02
S 0.506 0.013 0.255  0.05
S 0.689 0.378 0.862  0.03
S 0.494 0.987 0.755  0.05
S 0.347 0.695 0.016  0.02
S 0.311 0.622 0.362  0.03
S 0.020 0.039 0.024  0.06
S 0.653 0.305 0.516  0.02
Nd 0.878 0.755 0.842  0.02
Nd 0.882 0.763 0.192  -0.03
Nd 0.122 0.245 0.342  0.02
Nd 0.118 0.237 0.692  -0.03
Er 0.815 0.629 0.524  0.01
Er 0.185 0.371 0.024  0.01


Below is crystalline ErMn2Ni6 at its relaxed geometry, with properties calculated at the PBE level.

As for the energy relative to the elements: 0.045 eV/atom. The space group is Immm, No. 71. For the energy, the calculation gives -6.354 eV per atom.

Cell: 2.819 6.817 7.286 Å, 117.90 101.15 90.00°
Each line ends with the local moment (μB).
Positions (direct):
Ni 0.679 0.493 0.357  0.37
Ni 0.500 0.169 0.000  0.27
Ni 0.321 0.135 0.643  0.37
Ni 0.679 0.865 0.357  0.37
Ni 0.321 0.507 0.643  0.37
Ni 0.500 0.831 0.000  0.27
Er 0.000 0.500 0.000  -0.12
Mn 0.855 0.855 0.709  3.42
Mn 0.145 0.145 0.291  3.42


Below is crystalline Er3Mn2Ni7 at its relaxed geometry, with properties calculated at the PBE level.

As for the energy relative to the elements: -0.367 eV/atom. The space group is R-3m, No. 166. For the energy, the calculation gives -6.408 eV per atom.

Cell: 5.045 5.045 8.569 Å, 72.88 72.88 60.00°
Each line ends with the local moment (μB).
Positions (direct):
Ni 0.083 0.582 0.752  0.29
Ni 0.418 0.418 0.248  0.29
Ni 0.500 0.500 0.500  0.05
Ni 0.582 0.582 0.752  0.29
Ni 0.418 0.917 0.248  0.29
Ni 0.582 0.083 0.752  0.29
Ni 0.917 0.418 0.248  0.29
Er 0.861 0.861 0.418  -0.10
Er 0.139 0.139 0.582  -0.10
Er 0.000 0.000 0.000  -0.07
Mn 0.333 0.333 0.001  3.16
Mn 0.667 0.667 0.999  3.16


Below is crystalline ErMnNi2 at its relaxed geometry, with properties calculated at the PBE level.

As for the polymorph energy (0 for the lowest one): 91 meV per atom. As for the energy relative to the elements: -0.158 eV/atom. The space group is P4/mmm, No. 123. For the energy, the calculation gives -6.482 eV per atom.

Cell: 3.359 4.270 4.270 Å, 90.00 90.00 90.00°
Each line ends with the local moment (μB).
Positions (direct):
Er 0.500 0.000 0.000  -0.15
Ni 0.000 0.500 0.000  0.21
Ni 0.000 0.000 0.500  0.21
Mn 0.500 0.500 0.500  3.58


Below is crystalline ErMn2Ni5 at its relaxed geometry, with properties calculated at the PBE level.

As for the energy relative to the elements: -0.023 eV/atom. The space group is Immm, No. 71. For the energy, the calculation gives -6.500 eV per atom.

Cell: 3.629 6.009 6.009 Å, 66.38 72.43 72.43°
Each line ends with the local moment (μB).
Positions (direct):
Mn 0.753 0.747 0.747  3.13
Mn 0.247 0.253 0.253  3.13
Ni 0.366 0.444 0.823  0.42
Ni 0.634 0.556 0.177  0.42
Ni 0.634 0.177 0.556  0.42
Ni 0.366 0.823 0.444  0.42
Ni 0.000 0.500 0.500  0.41
Er 0.000 0.000 0.000  -0.11


What did the second record say?
Below is crystalline Na3Er2MnTe6 at its relaxed geometry, with properties calculated at the PBE level.

For the uncorrected formation energy, the calculation gives -982 meV/atom. The space group is C2/m, No. 12. For the energy, the calculation gives -4.407 eV per atom.

Cell: 7.475 7.475 7.944 Å, 98.96 98.96 120.29°
Each line ends with the local moment (μB).
Positions (direct):
Te 0.925 0.609 0.776  -0.02
Te 0.391 0.075 0.224  -0.02
Te 0.237 0.237 0.781  -0.04
Te 0.763 0.763 0.219  -0.04
Te 0.609 0.925 0.776  -0.02
Te 0.075 0.391 0.224  -0.02
Na 0.500 0.500 0.500  0.00
Na 0.829 0.171 0.500  0.00
Na 0.171 0.829 0.500  0.00
Er 0.667 0.333 0.000  0.03
Er 0.333 0.667 0.000  0.03
Mn 0.000 0.000 0.000  3.88